[1]
DFT (PBE) results for NbS3F after structural relaxation.

a b c (Å): 13.9291 13.9291 13.9291
angles (deg): 162.42 162.42 24.96
Closest atoms and distances in Å follow each position.
Atoms (fractional coordinates):
Nb 0.0000 0.0000 0.0000  4 S 2.40
Nb 0.7500 0.2500 0.5000  4 F 2.15
S 0.0407 0.5407 0.5000  2 Nb 2.40
S 0.3994 0.1664 0.2330  1 S 1.98
S 0.4593 0.9593 0.5000  2 Nb 2.40
S 0.8336 0.0666 0.2330  1 S 1.98
S 0.8336 0.6006 0.7670  1 S 1.98
S 0.9334 0.1664 0.7670  1 S 1.98
F 0.2623 0.2623 0.0000  2 Nb 2.15
F 0.7377 0.7377 0.0000  2 Nb 2.15

Output
Density, g/cm3: 2.80
Uncorrected energy, eV/cell: -57.06
ΔE to the lowest computed polymorph, kcal/mol of atoms: 0.00
Crystal system: tetragonal



[2]
DFT (PBE) results for Nb2SF after structural relaxation.

a b c (Å): 4.2893 4.2893 4.2893
angles (deg): 60.00 60.00 60.00
Closest atoms and distances in Å follow each position.
Atoms (fractional coordinates):
Nb 0.2500 0.2500 0.2500  4 F 2.63, 4 S 2.63
Nb 0.7500 0.7500 0.7500  4 S 2.63, 4 F 2.63
S 0.0000 0.0000 0.0000  8 Nb 2.63
F 0.5000 0.5000 0.5000  8 Nb 2.63

Output
Density, g/cm3: 7.05
Uncorrected energy, eV/cell: -28.90
ΔE to the lowest computed polymorph, kcal/mol of atoms: 0.00
Crystal system: cubic



[3]
DFT (PBE) results for NbS3F after structural relaxation.

a b c (Å): 4.2858 4.2858 4.2858
angles (deg): 90.00 90.00 90.00
Closest atoms and distances in Å follow each position.
Atoms (fractional coordinates):
Nb 0.0000 0.0000 0.0000  12 S 3.03
S 0.0000 0.5000 0.5000  2 F 2.14
S 0.5000 0.0000 0.5000  2 F 2.14
S 0.5000 0.5000 0.0000  2 F 2.14
F 0.5000 0.5000 0.5000  6 S 2.14

Output
Density, g/cm3: 4.39
Uncorrected energy, eV/cell: -20.81
ΔE to the lowest computed polymorph, kcal/mol of atoms: 35.60
Crystal system: cubic



[4]
DFT (PBE) results for Nb3SF after structural relaxation.

a b c (Å): 4.3210 4.3210 4.3210
angles (deg): 90.00 90.00 90.00
Closest atoms and distances in Å follow each position.
Atoms (fractional coordinates):
Nb 0.0000 0.0000 0.5000  2 F 2.16
Nb 0.0000 0.5000 0.0000  2 F 2.16
Nb 0.5000 0.0000 0.0000  2 F 2.16
S 0.5000 0.5000 0.5000  12 Nb 3.06
F 0.0000 0.0000 0.0000  6 Nb 2.16

Output
Density, g/cm3: 6.79
Uncorrected energy, eV/cell: -35.21
ΔE to the lowest computed polymorph, kcal/mol of atoms: 0.00
Crystal system: cubic



[5]
DFT (PBE) results for NbSF2 after structural relaxation.

a b c (Å): 8.1438 8.1438 8.1438
angles (deg): 153.64 153.64 37.62
Closest atoms and distances in Å follow each position.
Atoms (fractional coordinates):
Nb 0.0000 0.0000 0.0000  4 F 2.22
Nb 0.7500 0.2500 0.5000  4 F 2.22
S 0.2500 0.7500 0.5000  4 F 2.48, 4 Nb 2.63
S 0.5000 0.5000 0.0000  4 F 2.48, 4 Nb 2.63
F 0.0351 0.6250 0.9101  2 F 2.20, 2 Nb 2.22
F 0.3750 0.2851 0.4101  2 F 2.20, 2 Nb 2.22
F 0.7149 0.1250 0.0899  2 F 2.20, 2 Nb 2.22
F 0.8750 0.9649 0.5899  2 F 2.20, 2 Nb 2.22

Output
Density, g/cm3: 5.09
Uncorrected energy, eV/cell: -46.98
ΔE to the lowest computed polymorph, kcal/mol of atoms: 12.43
Crystal system: tetragonal



[6]
DFT (PBE) results for NbSF2 after structural relaxation.

a b c (Å): 2.9332 9.9380 4.8732
angles (deg): 90.00 107.49 90.00
Closest atoms and distances in Å follow each position.
Atoms (fractional coordinates):
Nb 0.2048 0.2500 0.4078  4 F 2.15, 2 S 2.38
Nb 0.7952 0.7500 0.5922  4 F 2.15, 2 S 2.38
S 0.0934 0.7500 0.1883  2 Nb 2.38
S 0.9066 0.2500 0.8117  2 Nb 2.38
F 0.3516 0.6003 0.7050  2 Nb 2.15
F 0.3516 0.8997 0.7050  2 Nb 2.15
F 0.6484 0.1003 0.2950  2 Nb 2.15
F 0.6484 0.3997 0.2950  2 Nb 2.15

Output
Density, g/cm3: 3.99
Uncorrected energy, eV/cell: -51.29
ΔE to the lowest computed polymorph, kcal/mol of atoms: 0.00
Crystal system: monoclinic



[7]
DFT (PBE) results for Nb2SF after structural relaxation.

a b c (Å): 5.4071 5.4071 5.4071
angles (deg): 106.31 106.31 116.00
Closest atoms and distances in Å follow each position.
Atoms (fractional coordinates):
Nb 0.1098 0.6250 0.9848  2 F 2.34, 2 S 2.47
Nb 0.3750 0.3598 0.4848  2 F 2.34, 2 S 2.47
Nb 0.6402 0.1250 0.0152  2 F 2.34, 2 S 2.47
Nb 0.8750 0.8902 0.5152  2 F 2.34, 2 S 2.47
S 0.2500 0.7500 0.5000  4 Nb 2.47
S 0.5000 0.5000 0.0000  4 Nb 2.47
F 0.0000 0.0000 0.0000  4 Nb 2.34
F 0.7500 0.2500 0.5000  4 Nb 2.34

Output
Density, g/cm3: 6.53
Uncorrected energy, eV/cell: -57.14
ΔE to the lowest computed polymorph, kcal/mol of atoms: 1.87
Crystal system: tetragonal



[8]
DFT (PBE) results for NbSF2 after structural relaxation.

a b c (Å): 4.1023 4.1023 4.1023
angles (deg): 60.00 60.00 60.00
Closest atoms and distances in Å follow each position.
Atoms (fractional coordinates):
Nb 0.0000 0.0000 0.0000  8 F 2.51
S 0.5000 0.5000 0.5000  8 F 2.51
F 0.2500 0.2500 0.2500  4 S 2.51, 4 Nb 2.51
F 0.7500 0.7500 0.7500  4 S 2.51, 4 Nb 2.51

Output
Density, g/cm3: 5.54
Uncorrected energy, eV/cell: -21.59
ΔE to the lowest computed polymorph, kcal/mol of atoms: 23.38
Crystal system: cubic



[9]
DFT (PBE) results for NbSF2 after structural relaxation.

a b c (Å): 10.2781 10.2781 10.2781
angles (deg): 15.61 15.61 15.61
Closest atoms and distances in Å follow each position.
Atoms (fractional coordinates):
Nb 0.0000 0.0000 0.0000  6 F 2.21
S 0.5000 0.5000 0.5000  6 S 2.79
F 0.3830 0.3830 0.3830  3 Nb 2.21
F 0.6170 0.6170 0.6170  3 Nb 2.21

Output
Density, g/cm3: 3.95
Uncorrected energy, eV/cell: -23.18
ΔE to the lowest computed polymorph, kcal/mol of atoms: 14.21
Crystal system: trigonal



[10]
DFT (PBE) results for NbSnSF2 after structural relaxation.

a b c (Å): 4.1334 4.1334 5.6759
angles (deg): 90.00 90.00 90.00
Closest atoms and distances in Å follow each position.
Atoms (fractional coordinates):
Nb 0.0000 0.0000 0.0000  4 Sn 2.92
Sn 0.5000 0.5000 0.0000  2 S 2.84, 4 Nb 2.92
S 0.5000 0.5000 0.5000  4 F 2.07
F 0.0000 0.5000 0.5000  2 S 2.07
F 0.5000 0.0000 0.5000  2 S 2.07

Output
Density, g/cm3: 4.82
Uncorrected energy, eV/cell: -21.81
Crystal system: tetragonal



[11]
DFT (PBE) results for NbTeSF2 after structural relaxation.

a b c (Å): 4.1138 4.1138 5.7040
angles (deg): 90.00 90.00 90.00
Closest atoms and distances in Å follow each position.
Atoms (fractional coordinates):
Nb 0.0000 0.0000 0.0000  4 F 2.06
Te 0.0000 0.0000 0.5000  2 Nb 2.85, 4 S 2.91
S 0.5000 0.5000 0.5000  4 Te 2.91
F 0.0000 0.5000 0.0000  2 Nb 2.06
F 0.5000 0.0000 0.0000  2 Nb 2.06

Output
Density, g/cm3: 5.00
Uncorrected energy, eV/cell: -27.51
Crystal system: tetragonal



[12]
DFT (PBE) results for NbTl2S2F4 after structural relaxation.

a b c (Å): 6.7994 6.7994 5.2455
angles (deg): 90.50 90.50 50.45
Closest atoms and distances in Å follow each position.
Atoms (fractional coordinates):
Nb 0.0000 0.0000 0.0000  4 F 1.96
Tl 0.3157 0.3157 0.7413  4 S 2.90-3.17
Tl 0.6843 0.6843 0.2587  4 S 2.90-3.17
S 0.1763 0.1763 0.2300  1 Nb 2.47
S 0.8237 0.8237 0.7700  1 Nb 2.47
F 0.1860 0.7023 0.2235  1 Nb 1.96
F 0.2977 0.8140 0.7765  1 Nb 1.96
F 0.7023 0.1860 0.2235  1 Nb 1.96
F 0.8140 0.2977 0.7765  1 Nb 1.96

Output
Density, g/cm3: 5.70
Uncorrected energy, eV/cell: -46.36
Crystal system: monoclinic



[13]
DFT (PBE) results for NbSbF10 after structural relaxation.

a b c (Å): 5.7822 7.4323 10.0183
angles (deg): 88.47 74.35 80.55
Closest atoms and distances in Å follow each position.
Atoms (fractional coordinates):
Nb 0.1583 0.3760 0.2202  4 F 1.85-1.88
Nb 0.8417 0.6240 0.7798  4 F 1.85-1.88
Sb 0.4635 0.2370 0.6925  6 F 1.89-2.01
Sb 0.5365 0.7630 0.3075  6 F 1.89-2.01
F 0.0168 0.2095 0.1485  1 Nb 1.85
F 0.0670 0.3285 0.4098  1 Nb 1.87
F 0.1700 0.5589 0.0863  1 Nb 1.88
F 0.2116 0.4632 0.7108  1 Sb 2.01, 1 Nb 2.21
F 0.2189 0.0955 0.6971  1 Sb 1.89
F 0.2750 0.9571 0.3235  1 Sb 1.89
F 0.3114 0.5844 0.3099  1 Sb 2.00, 1 Nb 2.22
F 0.3945 0.2477 0.8886  1 Sb 1.90
F 0.4703 0.7308 0.5012  1 Sb 1.89
F 0.4783 0.2580 0.1663  1 Nb 1.85
F 0.5217 0.7420 0.8337  1 Nb 1.85
F 0.5297 0.2692 0.4988  1 Sb 1.89
F 0.6055 0.7523 0.1114  1 Sb 1.90
F 0.6886 0.4156 0.6901  1 Sb 2.00, 1 Nb 2.22
F 0.7250 0.0429 0.6765  1 Sb 1.89
F 0.7811 0.9045 0.3029  1 Sb 1.89
F 0.7884 0.5368 0.2892  1 Sb 2.01, 1 Nb 2.21
F 0.8300 0.4411 0.9137  1 Nb 1.88
F 0.9330 0.6715 0.5902  1 Nb 1.87
F 0.9832 0.7905 0.8515  1 Nb 1.85

Output
Density, g/cm3: 3.29
Uncorrected energy, eV/cell: -128.96
Crystal system: triclinic



[14]
DFT (PBE) results for Nb2SbF after structural relaxation.

a b c (Å): 8.2952 8.2952 8.2952
angles (deg): 147.39 147.39 46.78
Closest atoms and distances in Å follow each position.
Atoms (fractional coordinates):
Nb 0.3750 0.2418 0.3668  2 F 2.30, 2 Nb 2.57
Nb 0.7582 0.1250 0.1332  2 F 2.30, 2 Nb 2.57
Nb 0.8750 0.0082 0.6332  2 F 2.30, 2 Nb 2.57
Nb 0.9918 0.6250 0.8668  2 F 2.30, 2 Nb 2.57
Sb 0.2500 0.7500 0.5000  4 Nb 2.86
Sb 0.5000 0.5000 0.0000  4 Nb 2.86
F 0.0000 0.0000 0.0000  4 Nb 2.30
F 0.7500 0.2500 0.5000  4 Nb 2.30

Output
Density, g/cm3: 6.57
Uncorrected energy, eV/cell: -53.30
ΔE to the lowest computed polymorph, kcal/mol of atoms: 5.11
Crystal system: tetragonal



[15]
DFT (PBE) results for NbSb3F after structural relaxation.

a b c (Å): 5.2856 5.2856 5.2856
angles (deg): 90.00 90.00 90.00
Closest atoms and distances in Å follow each position.
Atoms (fractional coordinates):
Nb 0.0000 0.0000 0.0000  6 Sb 2.64
Sb 0.0000 0.0000 0.5000  2 Nb 2.64
Sb 0.0000 0.5000 0.0000  2 Nb 2.64
Sb 0.5000 0.0000 0.0000  2 Nb 2.64
F 0.5000 0.5000 0.5000  12 Sb 3.74

Output
Density, g/cm3: 5.37
Uncorrected energy, eV/cell: -24.63
ΔE to the lowest computed polymorph, kcal/mol of atoms: 0.00
Crystal system: cubic



[16]
DFT (PBE) results for Nb2SbF2 after structural relaxation.

a b c (Å): 7.4559 7.4559 3.0360
angles (deg): 90.00 90.00 90.00
Closest atoms and distances in Å follow each position.
Atoms (fractional coordinates):
Nb 0.1259 0.3741 0.0000  4 F 2.37
Nb 0.3741 0.8741 0.0000  4 F 2.37
Nb 0.6259 0.1259 0.0000  4 F 2.37
Nb 0.8741 0.6259 0.0000  4 F 2.37
Sb 0.0000 0.0000 0.0000  4 Nb 2.94, 2 Sb 3.04
Sb 0.5000 0.5000 0.0000  4 Nb 2.94, 2 Sb 3.04
F 0.1173 0.6173 0.5000  4 Nb 2.37, 1 F 2.47
F 0.3827 0.1173 0.5000  4 Nb 2.37, 1 F 2.47
F 0.6173 0.8827 0.5000  4 Nb 2.37, 1 F 2.47
F 0.8827 0.3827 0.5000  4 Nb 2.37, 1 F 2.47

Output
Density, g/cm3: 6.80
Uncorrected energy, eV/cell: -62.39
ΔE to the lowest computed polymorph, kcal/mol of atoms: 12.70
Crystal system: tetragonal



[17]
DFT (PBE) results for NbSb3F after structural relaxation.

a b c (Å): 4.8322 4.8322 4.8322
angles (deg): 90.00 90.00 90.00
Closest atoms and distances in Å follow each position.
Atoms (fractional coordinates):
Nb 0.0000 0.0000 0.0000  12 Sb 3.42
Sb 0.0000 0.5000 0.5000  2 F 2.42
Sb 0.5000 0.0000 0.5000  2 F 2.42
Sb 0.5000 0.5000 0.0000  2 F 2.42
F 0.5000 0.5000 0.5000  6 Sb 2.42

Output
Density, g/cm3: 7.02
Uncorrected energy, eV/cell: -23.62
ΔE to the lowest computed polymorph, kcal/mol of atoms: 4.63
Crystal system: cubic



[18]
DFT (PBE) results for Nb2SbF2 after structural relaxation.

a b c (Å): 6.7109 6.7109 6.7109
angles (deg): 149.77 149.77 43.27
Closest atoms and distances in Å follow each position.
Atoms (fractional coordinates):
Nb 0.1195 0.1195 0.0000  4 F 2.39
Nb 0.8805 0.8805 0.0000  4 F 2.39
Sb 0.5000 0.5000 0.0000  8 Nb 2.89
F 0.2500 0.7500 0.5000  4 Nb 2.39, 4 F 2.47
F 0.7500 0.2500 0.5000  4 Nb 2.39, 4 F 2.47

Output
Density, g/cm3: 7.51
Uncorrected energy, eV/cell: -33.95
ΔE to the lowest computed polymorph, kcal/mol of atoms: 0.00
Crystal system: tetragonal



[19]
DFT (PBE) results for Nb2SbF after structural relaxation.

a b c (Å): 4.6167 4.6167 4.6167
angles (deg): 60.00 60.00 60.00
Closest atoms and distances in Å follow each position.
Atoms (fractional coordinates):
Nb 0.2500 0.2500 0.2500  4 F 2.83, 4 Sb 2.83
Nb 0.7500 0.7500 0.7500  4 F 2.83, 4 Sb 2.83
Sb 0.0000 0.0000 0.0000  8 Nb 2.83
F 0.5000 0.5000 0.5000  8 Nb 2.83

Output
Density, g/cm3: 7.79
Uncorrected energy, eV/cell: -27.54
ΔE to the lowest computed polymorph, kcal/mol of atoms: 0.00
Crystal system: cubic



[20]
DFT (PBE) results for NbSbF2 after structural relaxation.

a b c (Å): 4.4028 4.4028 4.4028
angles (deg): 60.00 60.00 60.00
Closest atoms and distances in Å follow each position.
Atoms (fractional coordinates):
Nb 0.0000 0.0000 0.0000  8 F 2.70
Sb 0.5000 0.5000 0.5000  8 F 2.70
F 0.2500 0.2500 0.2500  4 Nb 2.70, 4 Sb 2.70
F 0.7500 0.7500 0.7500  4 Nb 2.70, 4 Sb 2.70

Output
Density, g/cm3: 6.95
Uncorrected energy, eV/cell: -20.71
ΔE to the lowest computed polymorph, kcal/mol of atoms: 16.38
Crystal system: cubic